# CsTlW2O8

A geometry-optimized CsTlW2O8 structure (GGA+U, Alexandria).

abc: 5.5807 5.5807 28.8271
angles: 90.00 90.00 120.00
Space group R32 (No. 155, hexagonal axes)
Asymmetric unit:
Cs 0.0000 0.0000 0.0000 [3 per cell]
Tl 0.0000 0.0000 0.5000 [3 per cell]
W 0.0000 0.0000 0.2363 [6 per cell]
O 0.0000 0.0000 0.2983 [6 per cell]
O 0.0006 0.3822 0.8833 [18 per cell]

Summary:
The calculation puts the final energy at -6.43 eV per atom.